Entry 1:
Density functional theory data (PBEsol) for an optimized crystal structure of SrCa2P.

## Properties
- volume (A^3/atom) = 34.70
- density (Mg/m³) = 2.38
- DOS at the Fermi energy (states/eV per cell) = 4.97
- calculated formation energy (meV per atom) = -577

Geometry as CIF:
```
data_SrCa2P
_chemical_formula_sum 'Sr2 Ca4 P2'
_space_group_name_H-M_alt 'C 1 m 1'
_space_group_IT_number 8
_cell_length_a 11.3551
_cell_length_b 3.8578
_cell_length_c 7.0212
_cell_angle_alpha 90.00
_cell_angle_beta 115.49
_cell_angle_gamma 90.00
loop_
_space_group_symop_operation_xyz
'x,y,z'
'x,-y,z'
'x+1/2,y+1/2,z'
'x+1/2,-y+1/2,z'
loop_
_atom_site_label
_atom_site_type_symbol
_atom_site_fract_x
_atom_site_fract_y
_atom_site_fract_z
Sr1 Sr 0.0000 0.0000 0.0000
Ca1 Ca 0.1708 0.0000 0.6867
Ca2 Ca 0.3429 0.0000 0.3285
P1 P 0.2245 0.5000 0.0061
```



Entry 2:
Density functional theory data (PBEsol) for an optimized crystal structure of Y2MnAu.

## Properties
- volume (A^3/atom) = 21.66
- density (Mg/m³) = 8.23
- DOS at the Fermi energy (states/eV per cell) = 12.47
- calculated formation energy (meV per atom) = -197

Geometry as CIF:
```
data_Y2MnAu
_chemical_formula_sum 'Y4 Mn2 Au2'
_space_group_name_H-M_alt 'I 4/m m m'
_space_group_IT_number 139
_space_group_name_Hall '-I 4 2'
_cell_length_a 4.9496
_cell_length_b 4.9496
_cell_length_c 7.0748
_cell_angle_alpha 90.00
_cell_angle_beta 90.00
_cell_angle_gamma 90.00
loop_
_atom_site_label
_atom_site_type_symbol
_atom_site_fract_x
_atom_site_fract_y
_atom_site_fract_z
Y1 Y 0.0000 0.5000 0.2500
Mn1 Mn 0.0000 0.0000 0.0000
Au1 Au 0.0000 0.0000 0.5000
```



Entry 3:
Density functional theory data (PBEsol) for an optimized crystal structure of Li2Co3TeO8.

## Properties
- volume (A^3/atom) = 9.86
- density (Mg/m³) = 5.37
- formation energy without anion corrections (eV/f.u.) = -17.9
- DOS at the Fermi energy (states/eV per cell) = 10.49

Geometry as CIF:
```
data_Li2Co3TeO8
_chemical_formula_sum 'Li6 Co9 Te3 O24'
_space_group_name_H-M_alt 'R -3 m'
_space_group_IT_number 166
_space_group_name_Hall '-R 3 2"'
_cell_length_a 5.7333
_cell_length_b 5.7333
_cell_length_c 14.5428
_cell_angle_alpha 90.00
_cell_angle_beta 90.00
_cell_angle_gamma 120.00
loop_
_atom_site_label
_atom_site_type_symbol
_atom_site_fract_x
_atom_site_fract_y
_atom_site_fract_z
Li1 Li 0.0000 0.0000 0.1316
Co1 Co 0.0000 0.5000 0.0000
Te1 Te 0.0000 0.0000 0.5000
O1 O 0.0000 0.0000 0.2694
O2 O 0.0282 0.5141 0.2551
```



Entry 4:
Density functional theory data (PBEsol) for an optimized crystal structure of LaZrTeRh2.

## Properties
- volume (A^3/atom) = 24.88
- density (Mg/m³) = 7.52
- formation energy without anion corrections (eV/f.u.) = -0.8
- DOS at the Fermi energy (states/eV per cell) = 2.11

Geometry as CIF:
```
data_LaZrTeRh2
_chemical_formula_sum 'La1 Zr1 Te1 Rh2'
_space_group_name_H-M_alt 'P 4/m m m'
_space_group_IT_number 123
_space_group_name_Hall '-P 4 2'
_cell_length_a 4.7791
_cell_length_b 4.7791
_cell_length_c 5.4458
_cell_angle_alpha 90.00
_cell_angle_beta 90.00
_cell_angle_gamma 90.00
loop_
_atom_site_label
_atom_site_type_symbol
_atom_site_fract_x
_atom_site_fract_y
_atom_site_fract_z
La1 La 0.0000 0.0000 0.0000
Zr1 Zr 0.5000 0.5000 0.5000
Te1 Te 0.5000 0.5000 0.0000
Rh1 Rh 0.0000 0.5000 0.5000
```



Entry 5:
Density functional theory data (PBEsol) for an optimized crystal structure of CrCoSe2.

## Properties
- volume (A^3/atom) = 15.18
- density (Mg/m³) = 7.35
- formation energy without anion corrections (eV/f.u.) = 2.6
- DOS at the Fermi energy (states/eV per cell) = 22.67

Geometry as CIF:
```
data_CrCoSe2
_chemical_formula_sum 'Cr4 Co4 Se8'
_space_group_name_H-M_alt 'F -4 3 m'
_space_group_IT_number 216
_space_group_name_Hall 'F -4 2 3'
_cell_length_a 6.2387
_cell_length_b 6.2387
_cell_length_c 6.2387
_cell_angle_alpha 90.00
_cell_angle_beta 90.00
_cell_angle_gamma 90.00
loop_
_atom_site_label
_atom_site_type_symbol
_atom_site_fract_x
_atom_site_fract_y
_atom_site_fract_z
Cr1 Cr 0.0000 0.0000 0.0000
Co1 Co 0.2500 0.2500 0.2500
Se1 Se 0.0000 0.0000 0.5000
Se2 Se 0.2500 0.2500 0.7500
```



Entry 6:
Density functional theory data (PBEsol) for an optimized crystal structure of EuCo9Si2.

## Properties
- volume (A^3/atom) = 11.80
- density (Mg/m³) = 8.66
- formation energy without anion corrections (eV/f.u.) = -3.4
- DOS at the Fermi energy (states/eV per cell) = 65.70

Geometry as CIF:
```
data_EuCo9Si2
_chemical_formula_sum 'Eu4 Co36 Si8'
_space_group_name_H-M_alt 'I 41/a m d'
_space_group_IT_number 141
_cell_length_a 9.5554
_cell_length_b 9.5554
_cell_length_c 6.2024
_cell_angle_alpha 90.00
_cell_angle_beta 90.00
_cell_angle_gamma 90.00
loop_
_space_group_symop_operation_xyz
'x,y,z'
'-x,-y,-z'
'-y+1/4,x+3/4,z+1/4'
'y+1/4,-x+3/4,-z+1/4'
'-x+1/2,-y,z+1/2'
'x+1/2,y,-z+1/2'
'y+1/4,-x+1/4,z+3/4'
'-y+1/4,x+1/4,-z+3/4'
'x,-y,-z'
'-x,y,z'
'-y+1/4,-x+1/4,-z+3/4'
'y+1/4,x+1/4,z+3/4'
'-x+1/2,y,-z+1/2'
'x+1/2,-y,z+1/2'
'y+1/4,x+3/4,-z+1/4'
'-y+1/4,-x+3/4,z+1/4'
'x+1/2,y+1/2,z+1/2'
'-x+1/2,-y+1/2,-z+1/2'
'-y+3/4,x+1/4,z+3/4'
'y+3/4,-x+1/4,-z+3/4'
'-x,-y+1/2,z'
'x,y+1/2,-z'
'y+3/4,-x+3/4,z+1/4'
'-y+3/4,x+3/4,-z+1/4'
'x+1/2,-y+1/2,-z+1/2'
'-x+1/2,y+1/2,z+1/2'
'-y+3/4,-x+3/4,-z+1/4'
'y+3/4,x+3/4,z+1/4'
'-x,y+1/2,-z'
'x,-y+1/2,z'
'y+3/4,x+1/4,-z+3/4'
'-y+3/4,-x+1/4,z+3/4'
loop_
_atom_site_label
_atom_site_type_symbol
_atom_site_fract_x
_atom_site_fract_y
_atom_site_fract_z
Eu1 Eu 0.0000 0.2500 0.3750
Co1 Co 0.0000 0.2500 0.8750
Co2 Co 0.1242 0.0440 0.6840
Si1 Si 0.0000 0.0000 0.0000
```



Entry 7:
Density functional theory data (PBEsol) for an optimized crystal structure of YCoTc2.

## Properties
- volume (A^3/atom) = 15.49
- density (Mg/m³) = 9.21
- DOS at the Fermi energy (states/eV per cell) = 3.54
- calculated formation energy (meV per atom) = 274

Geometry as CIF:
```
data_YCoTc2
_chemical_formula_sum 'Y1 Co1 Tc2'
_space_group_name_H-M_alt 'P m m m'
_space_group_IT_number 47
_cell_length_a 3.1462
_cell_length_b 4.2772
_cell_length_c 4.6051
_cell_angle_alpha 90.00
_cell_angle_beta 90.00
_cell_angle_gamma 90.00
loop_
_space_group_symop_operation_xyz
'x,y,z'
'-x,-y,-z'
'-x,-y,z'
'x,y,-z'
'x,-y,-z'
'-x,y,z'
'-x,y,-z'
'x,-y,z'
loop_
_atom_site_label
_atom_site_type_symbol
_atom_site_fract_x
_atom_site_fract_y
_atom_site_fract_z
Y1 Y 0.0000 0.0000 0.0000
Co1 Co 0.5000 0.5000 0.0000
Tc1 Tc 0.0000 0.5000 0.5000
Tc2 Tc 0.5000 0.0000 0.5000
```



Entry 8:
Density functional theory data (PBEsol) for an optimized crystal structure of CuAgPt2.

## Properties
- volume (A^3/atom) = 14.48
- density (Mg/m³) = 16.10
- DOS at the Fermi energy (states/eV per cell) = 3.97
- calculated formation energy (meV per atom) = -98

Geometry as CIF:
```
data_CuAgPt2
_chemical_formula_sum 'Cu3 Ag3 Pt6'
_space_group_name_H-M_alt 'R -3 m'
_space_group_IT_number 166
_space_group_name_Hall '-R 3 2"'
_cell_length_a 2.7326
_cell_length_b 2.7326
_cell_length_c 26.8763
_cell_angle_alpha 90.00
_cell_angle_beta 90.00
_cell_angle_gamma 120.00
loop_
_atom_site_label
_atom_site_type_symbol
_atom_site_fract_x
_atom_site_fract_y
_atom_site_fract_z
Cu1 Cu 0.0000 0.0000 0.0000
Ag1 Ag 0.0000 0.0000 0.5000
Pt1 Pt 0.0000 0.0000 0.2555
```



Entry 9:
Density functional theory data (PBEsol) for an optimized crystal structure of LuPd3.

## Properties
- volume (A^3/atom) = 16.02
- density (Mg/m³) = 12.81
- DOS at the Fermi energy (states/eV per cell) = 2.80
- calculated formation energy (meV per atom) = -946

Geometry as CIF:
```
data_LuPd3
_chemical_formula_sum 'Lu1 Pd3'
_space_group_name_H-M_alt 'P m -3 m'
_space_group_IT_number 221
_space_group_name_Hall '-P 4 2 3'
_cell_length_a 4.0016
_cell_length_b 4.0016
_cell_length_c 4.0016
_cell_angle_alpha 90.00
_cell_angle_beta 90.00
_cell_angle_gamma 90.00
loop_
_atom_site_label
_atom_site_type_symbol
_atom_site_fract_x
_atom_site_fract_y
_atom_site_fract_z
Lu1 Lu 0.0000 0.0000 0.0000
Pd1 Pd 0.0000 0.5000 0.5000
```



Entry 10:
Density functional theory data (PBEsol) for an optimized crystal structure of FeAg2Te.

## Properties
- volume (A^3/atom) = 17.90
- density (Mg/m³) = 9.26
- formation energy without anion corrections (eV/f.u.) = 1.6
- DOS at the Fermi energy (states/eV per cell) = 5.62

Geometry as CIF:
```
data_FeAg2Te
_chemical_formula_sum 'Fe2 Ag4 Te2'
_space_group_name_H-M_alt 'C 1 2/m 1'
_space_group_IT_number 12
_cell_length_a 5.4393
_cell_length_b 10.2287
_cell_length_c 3.1589
_cell_angle_alpha 90.00
_cell_angle_beta 125.43
_cell_angle_gamma 90.00
loop_
_space_group_symop_operation_xyz
'x,y,z'
'-x,-y,-z'
'-x,y,-z'
'x,-y,z'
'x+1/2,y+1/2,z'
'-x+1/2,-y+1/2,-z'
'-x+1/2,y+1/2,-z'
'x+1/2,-y+1/2,z'
loop_
_atom_site_label
_atom_site_type_symbol
_atom_site_fract_x
_atom_site_fract_y
_atom_site_fract_z
Fe1 Fe 0.0000 0.0000 0.0000
Ag1 Ag 0.2500 0.2500 0.5000
Te1 Te 0.0000 0.5000 0.0000
```



Entry 11:
Density functional theory data (PBEsol) for an optimized crystal structure of KAlOs2.

## Properties
- volume (A^3/atom) = 16.73
- density (Mg/m³) = 11.08
- DOS at the Fermi energy (states/eV per cell) = 4.31
- calculated formation energy (meV per atom) = 1455

Geometry as CIF:
```
data_KAlOs2
_chemical_formula_sum 'K1 Al1 Os2'
_space_group_name_H-M_alt 'P 4/m m m'
_space_group_IT_number 123
_space_group_name_Hall '-P 4 2'
_cell_length_a 3.8898
_cell_length_b 3.8898
_cell_length_c 4.4222
_cell_angle_alpha 90.00
_cell_angle_beta 90.00
_cell_angle_gamma 90.00
loop_
_atom_site_label
_atom_site_type_symbol
_atom_site_fract_x
_atom_site_fract_y
_atom_site_fract_z
K1 K 0.0000 0.0000 0.0000
Al1 Al 0.5000 0.5000 0.0000
Os1 Os 0.0000 0.5000 0.5000
```



Entry 12:
Density functional theory data (PBEsol) for an optimized crystal structure of BaZr2Mo.

## Properties
- volume (A^3/atom) = 22.07
- density (Mg/m³) = 7.82
- DOS at the Fermi energy (states/eV per cell) = 4.76
- calculated formation energy (meV per atom) = 890

Geometry as CIF:
```
data_BaZr2Mo
_chemical_formula_sum 'Ba1 Zr2 Mo1'
_space_group_name_H-M_alt 'P m m m'
_space_group_IT_number 47
_cell_length_a 3.4858
_cell_length_b 5.0046
_cell_length_c 5.0607
_cell_angle_alpha 90.00
_cell_angle_beta 90.00
_cell_angle_gamma 90.00
loop_
_space_group_symop_operation_xyz
'x,y,z'
'-x,-y,-z'
'-x,-y,z'
'x,y,-z'
'x,-y,-z'
'-x,y,z'
'-x,y,-z'
'x,-y,z'
loop_
_atom_site_label
_atom_site_type_symbol
_atom_site_fract_x
_atom_site_fract_y
_atom_site_fract_z
Ba1 Ba 0.0000 0.0000 0.0000
Zr1 Zr 0.0000 0.5000 0.5000
Zr2 Zr 0.5000 0.0000 0.5000
Mo1 Mo 0.5000 0.5000 0.0000
```